Material: PaCu2O4
Method: DFT, GGA-PBE
State: relaxed

a b c (Å): 6.0170 6.0170 6.0170
angles (deg): 105.87 105.87 116.95
Atoms (fractional coordinates):
Pa  0.7500  0.2500  0.5000
Pa  0.0000  0.0000  0.0000
Cu  0.8750  0.5064  0.1314
Cu  0.2564  0.1250  0.6314
Cu  0.3750  0.7436  0.8686
Cu  0.4936  0.6250  0.3686
O  0.2221  0.9222  0.2952
O  0.0732  0.7779  0.7001
O  0.6270  0.9268  0.7048
O  0.0778  0.3730  0.2999
O  0.5279  0.3232  0.2001
O  0.6768  0.8770  0.2048
O  0.1230  0.3278  0.7999
O  0.6722  0.4721  0.7952

Output
crystal system = tetragonal
total DFT energy (no corrections) = -101.5 eV for the cell shown
DOS(E_F) = 0.71 states/eV per atom
symmetry = I-42d, No. 122